## P
PBE with a Hubbard U VCuIO2, relaxed; D(E_F) = 2.8 states/eV/cell
1.0
-2.2883 0.0480 3.2188
3.0036 -1.3890 2.1560
1.5393 4.9137 1.0211
Cu O I V
1 2 1 1
Direct
0.0000 0.0000 0.0000
0.5000 0.0000 0.0000
0.0000 0.5000 0.0000
0.0000 0.0000 0.5000
0.5000 0.5000 0.5000



## Q
PBE with a Hubbard U VCuIO2, relaxed; D(E_F) = 1.3 states/eV/cell
1.0
-0.4618 3.6237 -0.8791
-3.6088 -0.6573 -0.8135
-1.4953 1.1863 5.6755
O Cu V I
2 1 1 1
Direct
0.0000 0.5000 0.0000
0.5000 0.0000 0.0000
0.5000 0.5000 0.5000
0.0000 0.0000 0.0000
0.0000 0.0000 0.5000



Pick the least stable structure from those above. Pick: P